one:
Density functional theory data (meta-GGA SCAN) for Ca2FeCo at its PBEsol-relaxed geometry.

Values from the calculation:
SG ... P4mm, No. 99
DOS(E_F) ... 3.0 states/eV per cell

Lattice parameters (Å, degrees): 3.2453 3.2453 8.2111 90.00 90.00 90.00
Last column: magnetic moment on the atom in μB.
Element x y z (fractional)
Ca  0.0000  0.0000  0.9234  -0.08
Ca  0.5000  0.5000  0.3267  -0.03
Co  0.0000  0.0000  0.5841  1.71
Fe  0.5000  0.5000  0.6658  2.94

two:
Density functional theory data (meta-GGA SCAN) for Ca2FeCo at its PBEsol-relaxed geometry.

Values from the calculation:
SG ... I4/mmm, No. 139
DOS(E_F) ... 4.0 states/eV per cell

Lattice parameters (Å, degrees): 4.7566 4.8660 4.7566 60.74 90.00 119.26
Last column: magnetic moment on the atom in μB.
Element x y z (fractional)
Ca  0.2500  0.5000  0.2500  -0.10
Ca  0.7500  0.5000  0.7500  -0.10
Co  0.0000  0.0000  0.0000  1.62
Fe  0.5000  0.0000  0.5000  3.17

Short version: one, two, most stable first.

one:
Density functional theory data (meta-GGA SCAN) for CaCoIN2 at its PBEsol-relaxed geometry.

Values from the calculation:
SG ... P4/mmm, No. 123
DOS(E_F) ... 1.6 states/eV per cell

Lattice parameters (Å, degrees): 3.9663 3.9663 5.1044 90.00 90.00 90.00
Last column: magnetic moment on the atom in μB.
Element x y z (fractional)
I  0.0000  0.0000  0.5000  0.08
Ca  0.5000  0.5000  0.5000  -0.02
Co  0.0000  0.0000  0.0000  1.55
N  0.0000  0.5000  0.0000  0.85
N  0.5000  0.0000  0.0000  0.85

two:
Density functional theory data (meta-GGA SCAN) for CaCoIN2 at its PBEsol-relaxed geometry.

Values from the calculation:
SG ... P4/mmm, No. 123
DOS(E_F) ... 2.0 states/eV per cell

Lattice parameters (Å, degrees): 4.3612 4.3612 6.0734 90.00 90.00 90.00
Last column: magnetic moment on the atom in μB.
Element x y z (fractional)
I  0.0000  0.0000  0.5000  0.05
Ca  0.0000  0.0000  0.0000  0.03
Co  0.5000  0.5000  0.5000  2.04
N  0.0000  0.5000  0.0000  1.33
N  0.5000  0.0000  0.0000  1.33

Short version: one, two, most stable first.

one:
Density functional theory data (meta-GGA SCAN) for LiCaCo2 at its PBEsol-relaxed geometry.

Values from the calculation:
SG ... P4mm, No. 99
DOS(E_F) ... 3.1 states/eV per cell

Lattice parameters (Å, degrees): 3.0441 3.0441 7.3356 90.00 90.00 90.00
Last column: magnetic moment on the atom in μB.
Element x y z (fractional)
Ca  0.5000  0.5000  0.7996  -0.07
Co  0.0000  0.0000  0.0774  1.71
Co  0.5000  0.5000  0.1995  1.89
Li  0.0000  0.0000  0.4235  -0.02

two:
Density functional theory data (meta-GGA SCAN) for LiCaCo2 at its PBEsol-relaxed geometry.

Values from the calculation:
SG ... R-3m, No. 166
DOS(E_F) ... 3.3 states/eV per cell

Lattice parameters (Å, degrees): 2.7752 2.7752 8.8138 80.94 80.94 60.00
Last column: magnetic moment on the atom in μB.
Element x y z (fractional)
Ca  0.0000  0.0000  0.0000  -0.24
Co  0.2454  0.2454  0.2639  1.52
Co  0.7546  0.7546  0.7361  1.52
Li  0.5000  0.5000  0.5000  -0.04

Short version: one, two, most stable first.

one:
Density functional theory data (meta-GGA SCAN) for Ca2CoMo at its PBEsol-relaxed geometry.

Values from the calculation:
SG ... P4/mmm, No. 123
DOS(E_F) ... 2.4 states/eV per cell

Lattice parameters (Å, degrees): 3.6286 3.6286 6.2927 90.00 90.00 90.00
Last column: magnetic moment on the atom in μB.
Element x y z (fractional)
Mo  0.5000  0.5000  0.5000  2.44
Co  0.5000  0.5000  0.0000  1.72
Ca  0.0000  0.0000  0.7635  -0.01
Ca  0.0000  0.0000  0.2365  -0.01

two:
Density functional theory data (meta-GGA SCAN) for Ca2CoMo at its PBEsol-relaxed geometry.

Values from the calculation:
SG ... Pmmm, No. 47
DOS(E_F) ... 2.8 states/eV per cell

Lattice parameters (Å, degrees): 2.8188 4.7088 5.7671 90.00 90.00 90.00
Last column: magnetic moment on the atom in μB.
Element x y z (fractional)
Mo  0.5000  0.5000  0.5000  0.48
Co  0.5000  0.5000  0.0000  1.80
Ca  0.0000  0.0000  0.7546  -0.07
Ca  0.0000  0.0000  0.2454  -0.07

Short version: one, two, most stable first.

one:
Density functional theory data (meta-GGA SCAN) for CaCoNi2 at its PBEsol-relaxed geometry.

Values from the calculation:
SG ... P4mm, No. 99
DOS(E_F) ... 3.1 states/eV per cell

Lattice parameters (Å, degrees): 2.9429 2.9429 6.5190 90.00 90.00 90.00
Last column: magnetic moment on the atom in μB.
Element x y z (fractional)
Ca  0.0000  0.0000  0.4968  -0.10
Co  0.5000  0.5000  0.8189  1.78
Ni  0.0000  0.0000  0.9941  0.80
Ni  0.5000  0.5000  0.1902  0.12

two:
Density functional theory data (meta-GGA SCAN) for CaCoNi2 at its PBEsol-relaxed geometry.

Values from the calculation:
SG ... R3m, No. 160
DOS(E_F) ... 3.0 states/eV per cell

Lattice parameters (Å, degrees): 3.9782 3.9779 5.3337 111.91 90.00 120.00
Last column: magnetic moment on the atom in μB.
Element x y z (fractional)
Ca  0.5004  0.0007  0.5018  -0.05
Co  0.3150  0.6299  0.9447  1.78
Ni  0.9965  0.9930  0.9892  0.61
Ni  0.6882  0.3764  0.0644  0.52

three:
Density functional theory data (meta-GGA SCAN) for CaCoNi2 at its PBEsol-relaxed geometry.

Values from the calculation:
SG ... I-4m2, No. 119
DOS(E_F) ... 3.8 states/eV per cell

Lattice parameters (Å, degrees): 3.7810 3.7810 4.6639 113.91 113.91 90.00
Last column: magnetic moment on the atom in μB.
Element x y z (fractional)
Ca  0.5000  0.5000  0.0000  -0.06
Co  0.2500  0.7500  0.5000  1.86
Ni  0.0000  0.0000  0.0000  0.54
Ni  0.7500  0.2500  0.5000  0.45

Short version: two, one, three, most stable first.

one:
Density functional theory data (meta-GGA SCAN) for CaCo2O4 at its PBEsol-relaxed geometry.

Values from the calculation:
SG ... Pnma, No. 62
DOS(E_F) ... 0.0 states/eV per cell

Lattice parameters (Å, degrees): 2.9033 8.6746 10.1841 90.00 90.00 90.00
Element x y z (fractional)
Ca  0.2500  0.7381  0.8366
Ca  0.7500  0.2619  0.1634
Ca  0.2500  0.2381  0.6634
Ca  0.7500  0.7619  0.3366
Co  0.2500  0.5568  0.6120
Co  0.7500  0.4432  0.3880
Co  0.2500  0.0568  0.8880
Co  0.7500  0.9432  0.1120
Co  0.2500  0.5857  0.0978
Co  0.7500  0.4143  0.9022
Co  0.2500  0.0857  0.4022
Co  0.7500  0.9143  0.5978
O  0.2500  0.8027  0.1557
O  0.7500  0.1973  0.8443
O  0.2500  0.3027  0.3443
O  0.7500  0.6973  0.6557
O  0.2500  0.8856  0.4777
O  0.7500  0.1144  0.5223
O  0.2500  0.3856  0.0223
O  0.7500  0.6144  0.9777
O  0.2500  0.9662  0.7123
O  0.7500  0.0338  0.2877
O  0.2500  0.4662  0.7877
O  0.7500  0.5338  0.2123
O  0.2500  0.5794  0.4279
O  0.7500  0.4206  0.5721
O  0.2500  0.0794  0.0721
O  0.7500  0.9206  0.9279

two:
Density functional theory data (meta-GGA SCAN) for CaCo2O4 at its PBEsol-relaxed geometry.

Values from the calculation:
SG ... Fd-3m, No. 227
DOS(E_F) ... 0.0 states/eV per cell

Lattice parameters (Å, degrees): 5.9289 5.9289 5.9289 60.00 60.00 60.00
Element x y z (fractional)
Ca  0.7500  0.7500  0.7500
Ca  0.5000  0.5000  0.5000
Co  0.6250  0.1250  0.1250
Co  0.1250  0.1250  0.1250
Co  0.1250  0.6250  0.1250
Co  0.1250  0.1250  0.6250
O  0.8974  0.8974  0.3077
O  0.3526  0.9423  0.3526
O  0.9423  0.3526  0.3526
O  0.3526  0.3526  0.3526
O  0.3077  0.8974  0.8974
O  0.8974  0.8974  0.8974
O  0.3526  0.3526  0.9423
O  0.8974  0.3077  0.8974

three:
Density functional theory data (meta-GGA SCAN) for CaCo2O4 at its PBEsol-relaxed geometry.

Values from the calculation:
SG ... I4_1/a, No. 88
DOS(E_F) ... 0.2 states/eV per cell

Lattice parameters (Å, degrees): 5.6015 6.1858 5.6015 116.92 90.00 116.92
Last column: magnetic moment on the atom in μB.
Element x y z (fractional)
Ca  0.7500  0.5000  0.2500  0.01
Ca  0.5000  0.0000  0.5000  0.01
Co  0.1250  0.2500  0.3750  1.76
Co  0.1250  0.2500  0.8750  1.76
Co  0.1250  0.7500  0.8750  1.76
Co  0.6250  0.7500  0.8750  1.76
O  0.1541  0.5939  0.5230  0.08
O  0.4770  0.4061  0.5602  0.08
O  0.9291  0.4061  0.8459  0.08
O  0.8102  0.9061  0.6791  0.08
O  0.3209  0.0939  0.9041  0.08
O  0.7730  0.0939  0.1898  0.08
O  0.4398  0.5939  0.0709  0.08
O  0.0959  0.9061  0.2270  0.08

four:
Density functional theory data (meta-GGA SCAN) for CaCo2O4 at its PBEsol-relaxed geometry.

Values from the calculation:
SG ... Pmmn, No. 59
DOS(E_F) ... 0.0 states/eV per cell

Lattice parameters (Å, degrees): 4.9086 5.6604 10.6262 90.00 90.00 90.00
Element x y z (fractional)
Ca  0.3575  0.0000  0.5000
Ca  0.6425  0.5000  0.0000
Ca  0.0352  0.0000  0.0000
Ca  0.9648  0.5000  0.5000
Co  0.0017  0.5000  0.2452
Co  0.0017  0.5000  0.7548
Co  0.9983  0.0000  0.2548
Co  0.9983  0.0000  0.7452
Co  0.5000  0.2500  0.2500
Co  0.5000  0.7500  0.7500
Co  0.5000  0.7500  0.2500
Co  0.5000  0.2500  0.7500
O  0.3344  0.5000  0.1575
O  0.3344  0.5000  0.8425
O  0.6656  0.0000  0.3425
O  0.6656  0.0000  0.6575
O  0.6692  0.5000  0.3372
O  0.6692  0.5000  0.6628
O  0.3308  0.0000  0.1628
O  0.3308  0.0000  0.8372
O  0.1659  0.2529  0.3448
O  0.1659  0.7471  0.6552
O  0.8341  0.7529  0.1552
O  0.8341  0.2471  0.8448
O  0.8341  0.2471  0.1552
O  0.8341  0.7529  0.8448
O  0.1659  0.7471  0.3448
O  0.1659  0.2529  0.6552

Short version: four, one, two, three, most stable first.

one:
Density functional theory data (meta-GGA SCAN) for Ca2CoRe at its PBEsol-relaxed geometry.

Values from the calculation:
SG ... R-3m, No. 166
DOS(E_F) ... 2.7 states/eV per cell

Lattice parameters (Å, degrees): 2.9666 2.9666 9.4860 81.00 81.00 60.00
Last column: magnetic moment on the atom in μB.
Element x y z (fractional)
Re  0.0000  0.0000  0.0000  -0.02
Ca  0.2433  0.2433  0.2701  -0.09
Ca  0.7567  0.7567  0.7299  -0.09
Co  0.5000  0.5000  0.5000  1.48

two:
Density functional theory data (meta-GGA SCAN) for Ca2CoRe at its PBEsol-relaxed geometry.

Values from the calculation:
SG ... Pm, No. 6
DOS(E_F) ... 4.1 states/eV per cell

Lattice parameters (Å, degrees): 3.0758 3.0754 8.8137 90.19 90.00 90.00
Last column: magnetic moment on the atom in μB.
Element x y z (fractional)
Re  0.5000  0.4993  0.3166  -0.03
Ca  0.0000  0.9964  0.0660  -0.03
Ca  0.5000  0.5036  0.6769  -0.05
Co  0.0000  0.0006  0.4406  1.31

Short version: two, one, most stable first.

one:
Density functional theory data (meta-GGA SCAN) for CaCo2Ru at its PBEsol-relaxed geometry.

Values from the calculation:
SG ... P4/mmm, No. 123
DOS(E_F) ... 1.8 states/eV per cell

Lattice parameters (Å, degrees): 3.0046 3.0046 6.6722 90.00 90.00 90.00
Last column: magnetic moment on the atom in μB.
Element x y z (fractional)
Ru  0.5000  0.5000  0.0000  1.20
Ca  0.5000  0.5000  0.5000  -0.14
Co  0.0000  0.0000  0.8142  1.79
Co  0.0000  0.0000  0.1858  1.79

two:
Density functional theory data (meta-GGA SCAN) for CaCo2Ru at its PBEsol-relaxed geometry.

Values from the calculation:
SG ... P4/mmm, No. 123
DOS(E_F) ... 1.9 states/eV per cell

Lattice parameters (Å, degrees): 2.9790 4.3482 4.3482 90.00 90.00 90.00
Last column: magnetic moment on the atom in μB.
Element x y z (fractional)
Ru  0.5000  0.5000  0.5000  1.01
Ca  0.5000  0.0000  0.0000  -0.14
Co  0.0000  0.0000  0.5000  1.73
Co  0.0000  0.5000  0.0000  1.73

three:
Density functional theory data (meta-GGA SCAN) for CaCo2Ru at its PBEsol-relaxed geometry.

Values from the calculation:
SG ... P4mm, No. 99
DOS(E_F) ... 3.2 states/eV per cell

Lattice parameters (Å, degrees): 2.9246 2.9246 6.9412 90.00 90.00 90.00
Last column: magnetic moment on the atom in μB.
Element x y z (fractional)
Ru  0.0000  0.0000  0.4375  1.14
Ca  0.5000  0.5000  0.7581  -0.09
Co  0.0000  0.0000  0.0737  1.76
Co  0.5000  0.5000  0.2307  2.03

Short version: one, two, three, most stable first.